# EuPdPtPb

Crystalline EuPdPtPb at its relaxed geometry (PBE, Alexandria via LeMat-Bulk).

Cell and atoms, written as CIF:
```
data_EuPdPtPb
_chemical_formula_sum 'Eu1 Pd1 Pt1 Pb1'
_cell_length_a 4.9712
_cell_length_b 4.9712
_cell_length_c 4.9712
_cell_angle_alpha 60.00
_cell_angle_beta 60.00
_cell_angle_gamma 60.00
_symmetry_space_group_name_H-M 'P 1'
_symmetry_Int_Tables_number 1
loop_
_symmetry_equiv_pos_as_xyz
'x,y,z'
loop_
_atom_site_label
_atom_site_fract_x
_atom_site_fract_y
_atom_site_fract_z
_atom_site_occupancy
Pb1 0.5000 0.5000 0.5000 1
Eu1 0.0000 0.0000 0.0000 1
Pd1 0.2500 0.2500 0.2500 1
Pt1 0.7500 0.7500 0.7500 1
```

## Properties
Density of states at the Fermi level (states/eV/cell): 12.9
Crystal system: cubic
Calculated formation energy (meV per atom): -520
Magnetic moment (μB per formula unit): 6.9

***

# NbPdCl2

Crystalline NbPdCl2 at its relaxed geometry (PBE, Alexandria via LeMat-Bulk).

Cell and atoms, written as CIF:
```
data_NbPdCl2
_chemical_formula_sum 'Nb2 Pd2 Cl4'
_cell_length_a 6.1265
_cell_length_b 6.1265
_cell_length_c 6.5832
_cell_angle_alpha 62.27
_cell_angle_beta 62.27
_cell_angle_gamma 90.00
_symmetry_space_group_name_H-M 'P 1'
_symmetry_Int_Tables_number 1
loop_
_symmetry_equiv_pos_as_xyz
'x,y,z'
loop_
_atom_site_label
_atom_site_fract_x
_atom_site_fract_y
_atom_site_fract_z
_atom_site_occupancy
Nb1 0.5000 0.5000 0.0000 1
Nb2 0.2500 0.7500 0.5000 1
Pd1 0.0000 0.0000 0.0000 1
Pd2 0.7500 0.2500 0.5000 1
Cl1 0.6193 0.1250 0.2500 1
Cl2 0.1307 0.6250 0.2500 1
Cl3 0.3750 0.3807 0.7500 1
Cl4 0.8750 0.8693 0.7500 1
```

## Properties
Density of states at the Fermi level (states/eV/cell): 5.5
Crystal system: tetragonal
Magnetic moment (μB per formula unit): 2.8
ΔE_f (raw) (meV/atom): 208